This record from Alexandria describes a relaxed Na2YTcNi crystal. The functional is PBE.

Calculated values
energy of formation from the pure elements: 8.70 eV per formula unit
M_tot: 1.916 μB/f.u.
V: 161.4 Å³ per cell

```
data_Na2YTcNi
_cell_length_a 5.8214
_cell_length_b 4.7614
_cell_length_c 5.8214
_cell_angle_alpha 90.00
_cell_angle_beta 90.00
_cell_angle_gamma 90.00
_symmetry_space_group_name_H-M 'P 1'
_symmetry_Int_Tables_number 1
loop_
_symmetry_equiv_pos_as_xyz
'x,y,z'
loop_
_atom_site_label
_atom_site_fract_x
_atom_site_fract_y
_atom_site_fract_z
_atom_site_occupancy
Ni1 0.5000 0.5000 0.5000 1
Na1 0.5000 0.0000 0.0000 1
Na2 0.0000 0.0000 0.5000 1
Y1 0.0000 0.0000 0.0000 1
Tc1 0.0000 0.5000 0.0000 1
```